Li6V3P8O29 | PBE with a Hubbard U | optimized geometry

Distance to the lowest polymorph of the same formula   4 meV/atom

Cell lengths 9.7746, 9.8037, 14.0037 Å; angles 91.02, 90.14, 119.88 degrees
Space group P1 (No. 1)
Unique sites:
Li1 0.0000 0.0000 0.0000
Li2 0.0069 0.4449 0.0545
Li3 0.0917 0.7911 0.8733
Li4 0.0997 0.1888 0.3819
Li5 0.2479 0.7888 0.3748
Li6 0.3705 0.1377 0.9414
Li7 0.3812 0.1534 0.4152
Li8 0.4213 0.4444 0.5001
Li9 0.5507 0.9972 0.4997
Li10 0.5736 0.4488 0.9983
Li11 0.6567 0.1972 0.8805
Li12 0.9915 0.4459 0.5553
V1 0.3176 0.5454 0.7162
V2 0.3374 0.6656 0.1838
V3 0.7568 0.1049 0.6897
V4 0.7829 0.5469 0.2163
V5 0.8810 0.6664 0.6836
V6 0.8990 0.1052 0.1910
P1 0.0095 0.0195 0.7803
P2 0.0143 0.4401 0.3156
P3 0.0542 0.8967 0.2839
P4 0.0990 0.7770 0.0955
P5 0.1067 0.2111 0.6032
P6 0.2302 0.7769 0.5964
P7 0.2501 0.3171 0.1027
P8 0.3964 0.8956 0.7848
P9 0.4240 0.4235 0.2900
P10 0.5532 0.4225 0.7897
P11 0.5577 0.0207 0.2795
P12 0.6209 0.3182 0.6025
P13 0.6345 0.7552 0.5817
P14 0.6522 0.2123 0.1022
P15 0.6732 0.7569 0.0835
P16 0.9794 0.4404 0.8155
O1 0.0157 0.2877 0.2795
O2 0.0300 0.4551 0.4224
O3 0.0613 0.7490 0.5949
O4 0.0749 0.0932 0.8759
O5 0.0771 0.1757 0.1045
O6 0.0798 0.8480 0.0051
O7 0.1013 0.1288 0.5115
O8 0.1194 0.1160 0.6936
O9 0.1240 0.4286 0.7784
O10 0.1249 0.9031 0.1786
O11 0.1525 0.5878 0.2676
O12 0.1898 0.9559 0.3540
O13 0.2171 0.6172 0.6210
O14 0.2335 0.4668 0.1064
O15 0.2405 0.7499 0.0951
O16 0.2572 0.3748 0.6133
O17 0.3185 0.9493 0.8570
O18 0.3206 0.8470 0.5062
O19 0.3285 0.9021 0.6804
O20 0.3312 0.3331 0.3762
O21 0.3320 0.3067 0.1993
O22 0.3407 0.3016 0.0214
O23 0.3628 0.7272 0.8004
O24 0.4116 0.4479 0.7943
O25 0.4172 0.8527 0.2725
O26 0.4207 0.5758 0.2730
O27 0.5148 0.6612 0.6619
O28 0.5187 0.3082 0.5199
O29 0.5187 0.7596 0.1134
O30 0.5274 0.3066 0.6985
O31 0.5426 0.1134 0.1909
O32 0.5569 0.0959 0.3737
O33 0.5600 0.3349 0.8763
O34 0.5699 0.1332 0.0099
O35 0.5713 0.6746 0.4871
O36 0.5753 0.0167 0.7786
O37 0.5907 0.4485 0.2943
O38 0.6476 0.1738 0.6027
O39 0.6551 0.6770 0.9887
O40 0.6682 0.3765 0.1134
O41 0.6692 0.9283 0.5883
O42 0.7012 0.6645 0.1638
O43 0.7079 0.5756 0.7723
O44 0.7152 0.0194 0.2613
O45 0.7884 0.4658 0.6082
O46 0.7920 0.7580 0.6117
O47 0.8104 0.9307 0.0900
O48 0.8167 0.2246 0.1166
O49 0.8261 0.2885 0.7780
O50 0.8482 0.0118 0.7574
O51 0.8575 0.4265 0.2771
O52 0.9232 0.7275 0.3016
O53 0.9527 0.6173 0.1198
O54 0.9577 0.2291 0.6195
O55 0.9747 0.4502 0.9225
O56 0.9878 0.8534 0.7717
O57 0.9895 0.5895 0.7691
O58 0.9910 0.0140 0.2778